Here is a relaxed Y2As2Pb crystal from Alexandria. Energies are from PBE.

Values from the calculation:
The polymorph energy (0 for the lowest one) is 167 meV per atom. Its space group is P4/mbm (127). The calculated volume comes out at 126 Å³/f.u. The value obtained for the calculated total energy is -5.955 eV/atom. The value obtained for the density of states at the Fermi level is 8.2 states/eV per cell. The value obtained for the energy relative to the elements is -3.8 eV/f.u.

```
Y2As2Pb
1.0
8.1133 0.0000 0.0000
0.0000 8.1133 0.0000
0.0000 0.0000 3.8205
As Y Pb
4 4 2
direct
0.3415 0.1585 0.5000 As
0.6585 0.8415 0.5000 As
0.8415 0.3415 0.5000 As
0.1585 0.6585 0.5000 As
0.8501 0.6499 0.0000 Y
0.6499 0.1499 0.0000 Y
0.3501 0.8501 0.0000 Y
0.1499 0.3501 0.0000 Y
0.5000 0.5000 0.0000 Pb
0.0000 0.0000 0.0000 Pb
```